# Er2MgTl2W4O16 | the Alexandria database | PBE+U | optimized geometry
data_Er2MgTl2W4O16
_cell_length_a 7.4744
_cell_length_b 7.4794
_cell_length_c 7.8643
_cell_angle_alpha 115.98
_cell_angle_beta 90.18
_cell_angle_gamma 116.58
_space_group_name_H-M_alt 'P 1'
_space_group_IT_number 1
loop_
_space_group_symop_operation_xyz
'x,y,z'
loop_
_atom_site_label
_atom_site_type_symbol
_atom_site_fract_x
_atom_site_fract_y
_atom_site_fract_z
_atom_site_occupancy
Er1 Er 0.0000 0.0000 0.0000 1
Er2 Er 0.4906 0.4818 0.4105 1
Mg1 Mg 0.6548 0.8547 0.1769 1
Tl1 Tl 0.4868 0.0110 0.4766 1
Tl2 Tl 0.9565 0.4968 0.0204 1
W1 W 0.0206 0.0337 0.5297 1
W2 W 0.0408 0.5295 0.5064 1
W3 W 0.4210 0.9279 0.9106 1
W4 W 0.4346 0.4162 0.8800 1
O1 O 0.1045 0.7655 0.7931 1
O2 O 0.1086 0.7889 0.4565 1
O3 O 0.1220 0.3759 0.2879 1
O4 O 0.1405 0.1970 0.8396 1
O5 O 0.3298 0.2632 0.5713 1
O6 O 0.3443 0.0984 0.1249 1
O7 O 0.3636 0.6828 0.9731 1
O8 O 0.3717 0.7038 0.6321 1
O9 O 0.5010 0.1599 0.8260 1
O10 O 0.5147 0.5450 0.1652 1
O11 O 0.6929 0.6309 0.8803 1
O12 O 0.6994 0.0362 0.0182 1
O13 O 0.7651 0.4273 0.4291 1
O14 O 0.7740 0.8469 0.5599 1
O15 O 0.9456 0.9396 0.2517 1
O16 O 0.9788 0.3048 0.5881 1
# energy above the most stable polymorph in this dataset: 13 meV per atom
# total moment: 2.00 Bohr magnetons per cell